No. 1
Density functional theory data (PBE) for an optimized crystal structure of TbNd2Sc.

Cell and atoms, written as POSCAR:
```
TbNd2Sc
1.0
5.043 0.000 0.000
0.000 5.043 0.000
0.000 0.000 4.942
Tb Nd Sc
1 2 1
direct
0.000 0.000 0.000
0.000 0.500 0.500
0.500 0.000 0.500
0.500 0.500 0.000
```

Results
The energy above the lowest structure with this stoichiometry comes out at 0 meV per atom. For the size of the total moment, the calculation gives 0.00 μB per cell. The volume is 31.42 A^3/atom.



No. 2
Density functional theory data (PBE) for an optimized crystal structure of AcNdYTh.

Cell and atoms, written as POSCAR:
```
AcNdYTh
1.0
8.325 0.000 0.000
0.000 8.325 0.000
0.000 0.000 8.325
Ac Nd Y Th
4 4 4 4
direct
0.000 0.000 0.000
0.000 0.500 0.500
0.500 0.000 0.500
0.500 0.500 0.000
0.000 0.000 0.500
0.000 0.500 0.000
0.500 0.000 0.000
0.500 0.500 0.500
0.250 0.250 0.250
0.250 0.750 0.750
0.750 0.250 0.750
0.750 0.750 0.250
0.250 0.250 0.750
0.250 0.750 0.250
0.750 0.250 0.250
0.750 0.750 0.750
```

Results
Its uncorrected energy is -5.446 eV per atom. For the size of the total moment, the calculation gives 0.00 μB per cell. The volume is 36.06 A^3/atom.



No. 3
Density functional theory data (PBE) for an optimized crystal structure of Ce3HoIn12.

Cell and atoms, written as POSCAR:
```
Ce3HoIn12
1.0
4.680 0.000 0.000
0.000 4.680 0.000
0.000 0.000 18.795
Ce Ho In
3 1 12
direct
0.000 0.000 0.000
0.000 0.000 0.253
0.000 0.000 0.747
0.000 0.000 0.500
0.000 0.500 0.126
0.000 0.500 0.378
0.000 0.500 0.622
0.000 0.500 0.874
0.500 0.000 0.126
0.500 0.000 0.378
0.500 0.000 0.622
0.500 0.000 0.874
0.500 0.500 0.000
0.500 0.500 0.251
0.500 0.500 0.500
0.500 0.500 0.749
```

Results
Its uncorrected energy is -3.860 eV per atom. For the size of the total moment, the calculation gives 2.26 μB per cell. The volume is 25.73 A^3/atom.



No. 4
Density functional theory data (PBE) for an optimized crystal structure of LaHo2Tm12.

Cell and atoms, written as POSCAR:
```
LaHo2Tm12
1.0
3.529 -5.504 0.000
3.529 5.504 0.000
-1.744 0.000 24.006
La Ho Tm
2 4 24
direct
0.242 0.242 0.000
0.758 0.758 0.000
0.069 0.069 0.273
0.432 0.432 0.727
0.568 0.568 0.273
0.931 0.931 0.727
0.051 0.551 0.203
0.083 0.584 0.332
0.137 0.639 0.554
0.143 0.143 0.573
0.213 0.213 0.860
0.232 0.729 0.923
0.271 0.768 0.077
0.285 0.285 0.140
0.358 0.358 0.426
0.361 0.863 0.446
0.416 0.917 0.668
0.449 0.949 0.797
0.551 0.051 0.203
0.584 0.083 0.332
0.639 0.137 0.554
0.642 0.642 0.574
0.715 0.715 0.860
0.729 0.232 0.923
0.768 0.271 0.077
0.787 0.787 0.140
0.857 0.857 0.427
0.863 0.361 0.446
0.917 0.416 0.668
0.949 0.449 0.797
```

Results
Its uncorrected energy is -4.401 eV per atom. For the size of the total moment, the calculation gives 0.00 μB per cell. The volume is 31.08 A^3/atom.



Among the records above, which one has the highest size of the total moment?
Ce3HoIn12



Which value of size of the total moment does entry 1 give?
0.00 μB per cell



Among the records above, which one has the highest size of the total moment?
Ce3HoIn12